# 1
Density functional theory data (PBE) for crystalline Fe2NiAuN at its relaxed geometry.

Computed properties:
Final energy: -4.573 eV per atom
Total magnetization: 1.787 μB/atom
Space group: P4/mmm (123)

Cell and atoms, written as POSCAR:
```
Fe2NiAuN
1.0
4.7554 0.0000 0.0000
0.0000 4.7554 0.0000
0.0000 0.0000 4.6938
Fe Ni Au N
2 1 1 1
Direct
0.0000 0.5000 0.0000
0.5000 0.0000 0.0000
0.0000 0.0000 0.5000
0.0000 0.0000 0.0000
0.5000 0.5000 0.5000
```

---

# 2
Density functional theory data (PBE) for crystalline Fe2NiAuN at its relaxed geometry.

Computed properties:
Final energy: -6.924 eV per atom
Total magnetization: 1.068 μB/atom
Space group: P4/mmm (123)

Cell and atoms, written as POSCAR:
```
Fe2NiAuN
1.0
3.8584 0.0000 0.0000
0.0000 3.8584 0.0000
0.0000 0.0000 3.9150
Fe Ni Au N
2 1 1 1
Direct
0.0000 0.5000 0.0000
0.5000 0.0000 0.0000
0.0000 0.0000 0.5000
0.5000 0.5000 0.5000
0.0000 0.0000 0.0000
```

---

# 3
Density functional theory data (PBE) for crystalline FeNi2AuN at its relaxed geometry.

Computed properties:
Final energy: -6.363 eV per atom
Total magnetization: 0.630 μB/atom
Space group: P4/mmm (123)

Cell and atoms, written as POSCAR:
```
FeNi2AuN
1.0
3.8724 0.0000 0.0000
0.0000 3.8724 0.0000
0.0000 0.0000 3.8346
Fe Ni Au N
1 2 1 1
Direct
0.0000 0.0000 0.0000
0.0000 0.5000 0.5000
0.5000 0.0000 0.5000
0.5000 0.5000 0.0000
0.0000 0.0000 0.5000
```